[1]
Tb2Sm6Dy5 | PBE | optimized geometry

Output
- Formation enthalpy at 0 K: 0.099 eV/atom

abc: 11.6985 20.4294 3.6094
angles: 90.00 90.00 90.00
With the nearest neighbours (Å) after each atom.
Space group Pbam (No. 55)
Inequivalent atoms, fractional coordinates:
1 Tb 0.1675 0.2115 0.0000 (multiplicity 4)  3 Sm 3.34-3.64, 6 Dy 3.53-3.71, 2 Tb 3.61
2 Sm 0.0597 0.9203 0.0000 (multiplicity 4)  6 Dy 3.50-3.66, 5 Sm 3.54-3.76, 1 Tb 3.78
3 Sm 0.0816 0.6329 0.0000 (multiplicity 4)  1 Tb 3.34, 6 Dy 3.40-3.53, 4 Sm 3.50-3.61
4 Sm 0.1743 0.3664 0.5000 (multiplicity 4)  2 Dy 3.32-3.41, 4 Sm 3.50-3.61, 2 Tb 3.64
5 Dy 0.0000 0.5000 0.5000 (multiplicity 2)  6 Sm 3.40-3.41, 4 Dy 3.61-3.69
6 Dy 0.0911 0.7745 0.5000 (multiplicity 4)  5 Sm 3.32-3.50, 4 Tb 3.53-3.59, 2 Dy 3.61
7 Dy 0.1986 0.0540 0.5000 (multiplicity 4)  6 Sm 3.53-3.66, 3 Dy 3.61-3.69, 2 Tb 3.71

=====

[2]
MgIrNO2 | PBE | optimized geometry

Output
- Formation energy (no corrections): 0.774 eV per atom

abc: 3.7250 3.7250 3.9357
angles: 90.00 90.00 90.00
With the nearest neighbours (Å) after each atom.
Space group P4/mmm (No. 123)
Inequivalent atoms, fractional coordinates:
1 Mg 0.0000 0.0000 0.0000 (multiplicity 1)  4 O 1.86, 2 N 1.97
2 Ir 0.5000 0.5000 0.5000 (multiplicity 1)  4 N 2.63, 8 O 2.71
3 N 0.0000 0.0000 0.5000 (multiplicity 1)  2 Mg 1.97
4 O 0.0000 0.5000 0.0000 (multiplicity 2)  2 Mg 1.86

=====

Repeat the first record exactly.
Tb2Sm6Dy5 | PBE | optimized geometry

Output
- Formation enthalpy at 0 K: 0.099 eV/atom

abc: 11.6985 20.4294 3.6094
angles: 90.00 90.00 90.00
With the nearest neighbours (Å) after each atom.
Space group Pbam (No. 55)
Inequivalent atoms, fractional coordinates:
1 Tb 0.1675 0.2115 0.0000 (multiplicity 4)  3 Sm 3.34-3.64, 6 Dy 3.53-3.71, 2 Tb 3.61
2 Sm 0.0597 0.9203 0.0000 (multiplicity 4)  6 Dy 3.50-3.66, 5 Sm 3.54-3.76, 1 Tb 3.78
3 Sm 0.0816 0.6329 0.0000 (multiplicity 4)  1 Tb 3.34, 6 Dy 3.40-3.53, 4 Sm 3.50-3.61
4 Sm 0.1743 0.3664 0.5000 (multiplicity 4)  2 Dy 3.32-3.41, 4 Sm 3.50-3.61, 2 Tb 3.64
5 Dy 0.0000 0.5000 0.5000 (multiplicity 2)  6 Sm 3.40-3.41, 4 Dy 3.61-3.69
6 Dy 0.0911 0.7745 0.5000 (multiplicity 4)  5 Sm 3.32-3.50, 4 Tb 3.53-3.59, 2 Dy 3.61
7 Dy 0.1986 0.0540 0.5000 (multiplicity 4)  6 Sm 3.53-3.66, 3 Dy 3.61-3.69, 2 Tb 3.71